{"formula": "Ba2LaMg12Cd3", "functional": "PBE", "state": "relaxed", "lattice_angstrom": [[4.466, 2.579, 8.492], [-4.466, 2.579, 8.492], [0.000, -5.157, 8.492]], "species": ["Ba", "Ba", "La", "Mg", "Mg", "Mg", "Mg", "Mg", "Mg", "Mg", "Mg", "Mg", "Mg", "Mg", "Mg", "Cd", "Cd", "Cd"], "frac_coords": [[0.087, 0.087, 0.087], [0.913, 0.913, 0.913], [0.500, 0.500, 0.500], [0.039, 0.669, 0.669], [0.280, 0.280, 0.630], [0.280, 0.630, 0.280], [0.331, 0.331, 0.961], [0.331, 0.961, 0.331], [0.370, 0.720, 0.720], [0.630, 0.280, 0.280], [0.669, 0.039, 0.669], [0.669, 0.669, 0.039], [0.720, 0.370, 0.720], [0.720, 0.720, 0.370], [0.961, 0.331, 0.331], [0.000, 0.500, 0.500], [0.500, 0.000, 0.500], [0.500, 0.500, 0.000]], "dos_at_fermi_per_ev_cell": 9.4, "dft_energy_ha_per_atom": -0.056, "e_form_ev_per_atom": 0.178}